Material: CsBa2Tl
Method: DFT, PBE
State: optimized geometry

abc: 4.4281 4.4281 12.2143
angles: 90.00 90.00 90.00
Closest atoms and distances in Å follow each position.
Fractional coordinates of all 4 atoms:
Ba 0.0000 0.0000 0.1609  4 Tl 3.70, 1 Ba 3.93
Tl 0.5000 0.5000 0.0000  8 Ba 3.70
Ba 0.0000 0.0000 0.8391  4 Tl 3.70, 1 Ba 3.93
Cs 0.5000 0.5000 0.5000  4 Cs 4.43

Computed properties:
distance to the lowest polymorph of the same formula: 0.0 meV per atom
calculated volume: 59.9 Å³ per atom
energy of formation from the pure elements: -0.17 eV per atom